[1]
# GGA-PBE ZnSbPb2, optimized geometry
# VASP energy ... -3.046 eV/atom
# Formation energy without anion corrections ... 0.157 eV per atom
# D(E_F) ... 3.96 states/eV per cell
data_ZnSbPb2
_symmetry_space_group_name_H-M 'C 1 2/m 1'
_symmetry_Int_Tables_number 12
_cell_length_a 10.150
_cell_length_b 3.373
_cell_length_c 6.678
_cell_angle_alpha 90.00
_cell_angle_beta 98.84
_cell_angle_gamma 90.00
loop_
_symmetry_equiv_pos_as_xyz
'x,y,z'
'-x,-y,-z'
'-x,y,-z'
'x,-y,z'
'x+1/2,y+1/2,z'
'-x+1/2,-y+1/2,-z'
'-x+1/2,y+1/2,-z'
'x+1/2,-y+1/2,z'
loop_
_atom_site_label
_atom_site_type_symbol
_atom_site_fract_x
_atom_site_fract_y
_atom_site_fract_z
_atom_site_occupancy
Zn1 Zn 0.000 0.000 0.000 1
Sb1 Sb 0.000 0.500 0.500 1
Pb1 Pb 0.242 0.500 0.228 1

---

[2]
# GGA-PBE LaEuN, optimized geometry
# VASP energy ... -8.200 eV/atom
# Formation energy without anion corrections ... -0.358 eV per atom
# D(E_F) ... 10.81 states/eV per cell
data_LaEuN
_symmetry_space_group_name_H-M 'F -4 3 m'
_symmetry_Int_Tables_number 216
_symmetry_space_group_name_Hall 'F -4 2 3'
_cell_length_a 6.297
_cell_length_b 6.297
_cell_length_c 6.297
_cell_angle_alpha 90.00
_cell_angle_beta 90.00
_cell_angle_gamma 90.00
loop_
_atom_site_label
_atom_site_type_symbol
_atom_site_fract_x
_atom_site_fract_y
_atom_site_fract_z
_atom_site_occupancy
La1 La 0.000 0.000 0.000 1
Eu1 Eu 0.000 0.000 0.500 1
N1 N 0.250 0.250 0.750 1

---

[3]
# GGA-PBE Be2TcSb, optimized geometry
# VASP energy ... -4.933 eV/atom
# Formation energy without anion corrections ... 0.552 eV per atom
# D(E_F) ... 6.58 states/eV per cell
data_Be2TcSb
_symmetry_space_group_name_H-M 'F -4 3 m'
_symmetry_Int_Tables_number 216
_symmetry_space_group_name_Hall 'F -4 2 3'
_cell_length_a 6.077
_cell_length_b 6.077
_cell_length_c 6.077
_cell_angle_alpha 90.00
_cell_angle_beta 90.00
_cell_angle_gamma 90.00
loop_
_atom_site_label
_atom_site_type_symbol
_atom_site_fract_x
_atom_site_fract_y
_atom_site_fract_z
_atom_site_occupancy
Be1 Be 0.000 0.000 0.000 1
Be2 Be 0.250 0.250 0.250 1
Tc1 Tc 0.250 0.250 0.750 1
Sb1 Sb 0.000 0.000 0.500 1

---

[4]
# GGA-PBE NaLi2SiRh, optimized geometry
# VASP energy ... -3.723 eV/atom
# Formation energy without anion corrections ... -0.139 eV per atom
# D(E_F) ... 1.89 states/eV per cell
data_NaLi2SiRh
_symmetry_space_group_name_H-M 'P 4/m m m'
_symmetry_Int_Tables_number 123
_symmetry_space_group_name_Hall '-P 4 2'
_cell_length_a 4.820
_cell_length_b 4.820
_cell_length_c 4.499
_cell_angle_alpha 90.00
_cell_angle_beta 90.00
_cell_angle_gamma 90.00
loop_
_atom_site_label
_atom_site_type_symbol
_atom_site_fract_x
_atom_site_fract_y
_atom_site_fract_z
_atom_site_occupancy
Na1 Na 0.000 0.000 0.000 1
Li1 Li 0.000 0.500 0.500 1
Si1 Si 0.500 0.500 0.000 1
Rh1 Rh 0.500 0.500 0.500 1

---

D(E_F) of number 1 (ZnSbPb2)? 3.96 states/eV per cell

---

Which of these has the highest VASP energy? ZnSbPb2

---

Copy entry 4 word for word.
# GGA-PBE NaLi2SiRh, optimized geometry
# VASP energy ... -3.723 eV/atom
# Formation energy without anion corrections ... -0.139 eV per atom
# D(E_F) ... 1.89 states/eV per cell
data_NaLi2SiRh
_symmetry_space_group_name_H-M 'P 4/m m m'
_symmetry_Int_Tables_number 123
_symmetry_space_group_name_Hall '-P 4 2'
_cell_length_a 4.820
_cell_length_b 4.820
_cell_length_c 4.499
_cell_angle_alpha 90.00
_cell_angle_beta 90.00
_cell_angle_gamma 90.00
loop_
_atom_site_label
_atom_site_type_symbol
_atom_site_fract_x
_atom_site_fract_y
_atom_site_fract_z
_atom_site_occupancy
Na1 Na 0.000 0.000 0.000 1
Li1 Li 0.000 0.500 0.500 1
Si1 Si 0.500 0.500 0.000 1
Rh1 Rh 0.500 0.500 0.500 1